Density functional theory data (GGA-PBE) for CsAgHg3 after structural relaxation.

Structure (CIF):
```
data_CsAgHg3
_cell_length_a 5.6151
_cell_length_b 5.6151
_cell_length_c 5.6151
_cell_angle_alpha 90.00
_cell_angle_beta 90.00
_cell_angle_gamma 90.00
_space_group_name_H-M_alt 'P m -3 m'
_space_group_IT_number 221
_space_group_name_Hall '-P 4 2 3'
loop_
_atom_site_label
_atom_site_fract_x
_atom_site_fract_y
_atom_site_fract_z
Cs1 0.0000 0.0000 0.0000
Ag1 0.5000 0.5000 0.5000
Hg1 0.0000 0.5000 0.5000
```

E above lowest polymorph: 0.05 eV per formula unit
spin magnetization: 0.00 μB/atom
energy of formation: -0.125 eV per atom